The following is a PBE calculation of a geometry-optimized MnTl2Cd structure, from the Alexandria database.

```
MnTl2Cd
1.0
5.542 0.071 0.000
1.600 5.307 0.000
-3.571 -2.689 3.277
Tl Mn Cd
2 1 1
direct
0.500 0.500 0.000
0.000 0.000 0.000
0.750 0.250 0.500
0.250 0.750 0.500
```

Values from the calculation:
The value obtained for the energy above the most stable polymorph in this dataset is 111 meV per atom. As for the formation energy: 0.379 eV/atom.